## Ho2TeO6 (PBEsol)

Data for Ho2TeO6 after structural relaxation.

crystal system = tetragonal
formation energy (no corrections) = -2.55 eV/atom
E = -135.78 eV for the cell shown
Fermi-level density of states = 0.000 states/eV per cell

a b c (Å): 4.921 4.921 9.953
angles (deg): 90.00 90.00 90.00
Fractional coordinates of all 18 atoms:
O 0.184 0.816 0.353
O 0.816 0.184 0.353
O 0.316 0.316 0.147
O 0.280 0.280 0.500
O 0.684 0.684 0.147
O 0.720 0.720 0.500
O 0.316 0.316 0.853
O 0.816 0.184 0.647
O 0.220 0.780 0.000
O 0.184 0.816 0.647
O 0.684 0.684 0.853
O 0.780 0.220 0.000
Ho 0.000 0.000 0.834
Ho 0.500 0.500 0.334
Ho 0.500 0.500 0.666
Ho 0.000 0.000 0.166
Te 0.500 0.500 0.000
Te 0.000 0.000 0.500